1.
A geometry-optimized AlIn2Hg structure, computed with PBE.

```
AlIn2Hg
1.0
-2.360 2.360 4.344
2.360 -2.360 4.344
2.360 2.360 -4.344
Al In Hg
1 2 1
direct
0.000 0.000 0.000 Al
0.500 0.500 0.000 In
0.750 0.250 0.500 In
0.250 0.750 0.500 Hg
```

Results
ΔE to the lowest computed polymorph in eV/atom: 0.0464
Magnetization in μB per formula unit: 0.0
Calculated density in g/cm3: 7.848
Formation enthalpy at 0 K in eV/atom: 0.139

=====

2.
A geometry-optimized AlIn6Hg12 structure, computed with PBE.

```
AlIn6Hg12
1.0
7.692 4.441 2.550
-7.692 4.441 2.550
0.000 -8.881 2.550
Al In Hg
1 6 12
direct
0.000 0.000 0.000 Al
0.254 0.638 0.690 In
0.310 0.746 0.362 In
0.362 0.310 0.746 In
0.638 0.690 0.254 In
0.690 0.254 0.638 In
0.746 0.362 0.310 In
0.064 0.335 0.252 Hg
0.083 0.864 0.565 Hg
0.136 0.435 0.917 Hg
0.252 0.064 0.335 Hg
0.335 0.252 0.064 Hg
0.435 0.917 0.136 Hg
0.565 0.083 0.864 Hg
0.665 0.748 0.936 Hg
0.748 0.936 0.665 Hg
0.864 0.565 0.083 Hg
0.917 0.136 0.435 Hg
0.936 0.665 0.748 Hg
```

Results
Magnetization in μB per formula unit: 0.0
Calculated density in g/cm3: 9.922
Formation enthalpy at 0 K in eV/atom: 0.041

=====

3.
A geometry-optimized Al2InHg structure, computed with PBE.

```
Al2InHg
1.0
5.377 0.000 0.000
0.000 5.377 0.000
0.000 0.000 3.023
Al In Hg
2 1 1
direct
0.000 0.500 0.000 Al
0.500 0.000 0.000 Al
0.000 0.000 0.500 In
0.500 0.500 0.500 Hg
```

Results
Magnetization in μB per formula unit: 0.0
Calculated density in g/cm3: 7.019
Formation enthalpy at 0 K in eV/atom: 0.213

=====

4.
A geometry-optimized AlIn2Hg structure, computed with PBE.

```
AlIn2Hg
1.0
2.359 1.362 5.482
-2.359 1.362 5.482
0.000 -2.724 5.482
Al In Hg
1 2 1
direct
0.000 0.000 0.000 Al
0.404 0.404 0.404 In
0.605 0.605 0.605 In
0.175 0.175 0.175 Hg
```

Results
ΔE to the lowest computed polymorph in eV/atom: 0.0445
Magnetization in μB per formula unit: 0.0
Calculated density in g/cm3: 7.187
Formation enthalpy at 0 K in eV/atom: 0.137

=====

5.
A geometry-optimized Al2InHg structure, computed with PBE.

```
Al2InHg
1.0
2.932 -5.322 0.000
2.932 5.322 0.000
-1.934 0.000 2.816
Al In Hg
2 1 1
direct
0.000 0.500 0.000 Al
0.500 0.000 0.000 Al
0.000 0.000 0.500 In
0.500 0.500 0.500 Hg
```

Results
Magnetization in μB per formula unit: 0.0
Calculated density in g/cm3: 6.979
Formation enthalpy at 0 K in eV/atom: 0.205

=====

6.
A geometry-optimized AlInHg structure, computed with PBE.

```
AlInHg
1.0
6.286 0.000 0.000
0.000 3.144 0.000
-2.196 0.000 7.267
Al In Hg
2 2 2
direct
0.000 0.000 0.000 Al
0.316 0.500 0.918 Al
0.317 0.500 0.331 In
0.572 0.000 0.712 In
0.732 0.500 0.181 Hg
0.974 0.500 0.583 Hg
```

Results
Magnetization in μB per formula unit: 0.0
Calculated density in g/cm3: 7.916
Formation enthalpy at 0 K in eV/atom: 0.108

=====

7.
A geometry-optimized AlIn6Hg5 structure, computed with PBE.

```
AlIn6Hg5
1.0
5.746 0.000 0.000
-0.536 7.261 0.000
-2.720 -2.878 7.549
Al In Hg
1 6 5
direct
0.000 0.000 0.000 Al
0.245 0.081 0.421 In
0.248 0.391 0.076 In
0.251 0.778 0.751 In
0.749 0.222 0.249 In
0.752 0.609 0.924 In
0.755 0.919 0.579 In
0.016 0.350 0.676 Hg
0.443 0.818 0.155 Hg
0.500 0.500 0.500 Hg
0.557 0.182 0.845 Hg
0.984 0.650 0.324 Hg
```

Results
Magnetization in μB per formula unit: 0.0
Calculated density in g/cm3: 9.063
Formation enthalpy at 0 K in eV/atom: 0.048

=====

8.
A geometry-optimized AlInHg4 structure, computed with PBE.

```
AlInHg4
1.0
0.000 4.301 4.301
4.301 0.000 4.301
4.301 4.301 0.000
Al In Hg
1 1 4
direct
0.000 0.000 0.000 Al
0.250 0.250 0.250 In
0.124 0.625 0.625 Hg
0.625 0.124 0.625 Hg
0.625 0.625 0.124 Hg
0.625 0.625 0.625 Hg
```

Results
Magnetization in μB per formula unit: 0.0
Calculated density in g/cm3: 9.855
Formation enthalpy at 0 K in eV/atom: 0.250

=====

Listing E for the structures above in their given order: -2.241 -1.211 -2.418 -2.243 -2.427 -2.153 -1.759 -1.031 eV/atom.
Listing density of states at the Fermi level for the structures above in their given order: 1.62 9.29 1.70 1.59 1.41 2.56 3.29 4.13 states/eV per cell.